No. 1
Density functional theory data (PBE) for crystalline PmHoSn2 at its relaxed geometry.

Results
Mass density in g cm⁻³: 7.86
Space-group type: R-3m (166)
ΔH_f (0 K) in eV/atom: -0.626
Fermi-level density of states in states/eV/f.u.: 2.42

Lattice parameters (Å, degrees): 6.0490 6.0490 6.0490 48.98 48.98 48.98
Fractional positions:
Pm 0.0000 0.0000 0.0000
Ho 0.5000 0.5000 0.5000
Sn 0.2451 0.2451 0.2451
Sn 0.7549 0.7549 0.7549


No. 2
Density functional theory data (PBE) for crystalline Pm6HoSn at its relaxed geometry.

Results
Mass density in g cm⁻³: 7.55
Space-group type: P4/mmm (123)
ΔH_f (0 K) in eV/atom: -0.198
Fermi-level density of states in states/eV/f.u.: 7.96

Lattice parameters (Å, degrees): 4.9710 4.9710 10.2730 90.00 90.00 90.00
Fractional positions:
Pm 0.0000 0.0000 0.0000
Pm 0.0000 0.0000 0.5000
Pm 0.0000 0.5000 0.2415
Pm 0.0000 0.5000 0.7585
Pm 0.5000 0.0000 0.2415
Pm 0.5000 0.0000 0.7585
Ho 0.5000 0.5000 0.5000
Sn 0.5000 0.5000 0.0000


No. 3
Density functional theory data (PBE) for crystalline PmHoSn at its relaxed geometry.

Results
Energy above the most stable polymorph in this dataset in meV per atom: 207
Mass density in g cm⁻³: 7.21
Space-group type: F-43m (216)
ΔH_f (0 K) in eV/atom: -0.405
Fermi-level density of states in states/eV/f.u.: 3.25

Lattice parameters (Å, degrees): 5.1874 5.1874 5.1874 60.00 60.00 60.00
Fractional positions:
Pm 0.0000 0.0000 0.0000
Ho 0.5000 0.5000 0.5000
Sn 0.2500 0.2500 0.2500


No. 4
Density functional theory data (PBE) for crystalline Pm3HoSn3 at its relaxed geometry.

Results
Mass density in g cm⁻³: 6.87
Space-group type: R-3 (148)
ΔH_f (0 K) in eV/atom: -0.568
Fermi-level density of states in states/eV/f.u.: 7.62

Lattice parameters (Å, degrees): 8.2004 8.2004 8.2004 68.82 68.82 68.82
Fractional positions:
Pm 0.0988 0.8262 0.3492
Pm 0.1738 0.6508 0.9012
Pm 0.3492 0.0988 0.8262
Pm 0.6508 0.9012 0.1738
Pm 0.8262 0.3492 0.0988
Pm 0.9012 0.1738 0.6508
Ho 0.3326 0.3326 0.3326
Ho 0.6674 0.6674 0.6674
Sn 0.0708 0.4634 0.6870
Sn 0.3130 0.9292 0.5366
Sn 0.4634 0.6870 0.0708
Sn 0.5366 0.3130 0.9292
Sn 0.6870 0.0708 0.4634
Sn 0.9292 0.5366 0.3130


No. 5
Density functional theory data (PBE) for crystalline Pm2Ho2Sn5 at its relaxed geometry.

Results
Mass density in g cm⁻³: 7.56
Space-group type: Cmce (64)
ΔH_f (0 K) in eV/atom: -0.586
Fermi-level density of states in states/eV/f.u.: 2.89

Lattice parameters (Å, degrees): 9.1556 9.1556 8.0508 90.00 90.00 52.14
Fractional positions:
Pm 0.1904 0.1904 0.0000
Pm 0.3096 0.3096 0.5000
Pm 0.6904 0.6904 0.5000
Pm 0.8096 0.8096 0.0000
Ho 0.1666 0.8334 0.6668
Ho 0.3334 0.6666 0.1668
Ho 0.6666 0.3334 0.8332
Ho 0.8334 0.1666 0.3332
Sn 0.0000 0.0000 0.0000
Sn 0.0038 0.2621 0.6286
Sn 0.2379 0.4962 0.8714
Sn 0.2621 0.0038 0.3714
Sn 0.4962 0.2379 0.1286
Sn 0.5000 0.5000 0.5000
Sn 0.5038 0.7621 0.8714
Sn 0.7379 0.9962 0.6286
Sn 0.7621 0.5038 0.1286
Sn 0.9962 0.7379 0.3714


No. 6
Density functional theory data (PBE) for crystalline Pm2Ho2Sn7 at its relaxed geometry.

Results
Mass density in g cm⁻³: 6.77
Space-group type: Cmmm (65)
ΔH_f (0 K) in eV/atom: -0.191
Fermi-level density of states in states/eV/f.u.: 5.50

Lattice parameters (Å, degrees): 7.0726 7.0726 7.2240 90.00 90.00 99.95
Fractional positions:
Pm 0.2149 0.7851 0.0000
Pm 0.7851 0.2149 0.0000
Ho 0.3108 0.3108 0.5000
Ho 0.6892 0.6892 0.5000
Sn 0.0000 0.0000 0.3031
Sn 0.0000 0.0000 0.6969
Sn 0.0000 0.5000 0.2986
Sn 0.0000 0.5000 0.7014
Sn 0.5000 0.0000 0.2986
Sn 0.5000 0.0000 0.7014
Sn 0.5000 0.5000 0.0000


No. 7
Density functional theory data (PBE) for crystalline PmHo3Sn at its relaxed geometry.

Results
Mass density in g cm⁻³: 7.69
Space-group type: Ima2 (46)
ΔH_f (0 K) in eV/atom: 0.121
Fermi-level density of states in states/eV/f.u.: 6.39

Lattice parameters (Å, degrees): 7.8685 7.8685 7.8685 87.32 114.69 128.97
Fractional positions:
Pm 0.2459 0.2500 0.4959
Pm 0.7541 0.7500 0.5041
Ho 0.2211 0.5330 0.7592
Ho 0.2211 0.9619 0.1880
Ho 0.6744 0.9932 0.1811
Ho 0.7739 0.0330 0.8120
Ho 0.7739 0.4619 0.2408
Ho 0.8121 0.4932 0.8189
Sn 0.1844 0.5068 0.1776
Sn 0.3293 0.0068 0.8224


No. 8
Density functional theory data (PBE) for crystalline Pm3HoSn2 at its relaxed geometry.

Results
Energy above the most stable polymorph in this dataset in meV per atom: 79
Mass density in g cm⁻³: 7.50
Space-group type: C2/m (12)
ΔH_f (0 K) in eV/atom: -0.502
Fermi-level density of states in states/eV/f.u.: 6.82

Lattice parameters (Å, degrees): 9.3865 9.3865 9.8314 114.76 114.76 28.32
Fractional positions:
Pm 0.0517 0.0517 0.1885
Pm 0.3091 0.3091 0.6094
Pm 0.3495 0.3495 0.0190
Pm 0.6505 0.6505 0.9810
Pm 0.6909 0.6909 0.3906
Pm 0.9483 0.9483 0.8115
Ho 0.1137 0.1137 0.6194
Ho 0.8863 0.8863 0.3806
Sn 0.2481 0.2481 0.2235
Sn 0.4968 0.4968 0.6458
Sn 0.5032 0.5032 0.3542
Sn 0.7519 0.7519 0.7765


No. 9
Density functional theory data (PBE) for crystalline Pm8HoSn2 at its relaxed geometry.

Results
Mass density in g cm⁻³: 7.17
Space-group type: C2/m (12)
ΔH_f (0 K) in eV/atom: -0.178
Fermi-level density of states in states/eV/f.u.: 14.79

Lattice parameters (Å, degrees): 8.9721 8.9721 6.4020 94.38 94.38 44.81
Fractional positions:
Pm 0.0834 0.0834 0.3984
Pm 0.1467 0.6555 0.0962
Pm 0.2897 0.2897 0.6663
Pm 0.3445 0.8533 0.9038
Pm 0.6555 0.1467 0.0962
Pm 0.7103 0.7103 0.3337
Pm 0.8533 0.3445 0.9038
Pm 0.9166 0.9166 0.6016
Ho 0.5000 0.5000 0.5000
Sn 0.2435 0.2435 0.1690
Sn 0.7565 0.7565 0.8310


No. 10
Density functional theory data (PBE) for crystalline PmHo2Sn at its relaxed geometry.

Results
Energy above the most stable polymorph in this dataset in meV per atom: 178
Mass density in g cm⁻³: 8.68
Space-group type: F-43m (216)
ΔH_f (0 K) in eV/atom: -0.241
Fermi-level density of states in states/eV/f.u.: 6.79

Lattice parameters (Å, degrees): 5.4352 5.4352 5.4352 60.00 60.00 60.00
Fractional positions:
Pm 0.0000 0.0000 0.0000
Ho 0.5000 0.5000 0.5000
Ho 0.7500 0.7500 0.7500
Sn 0.2500 0.2500 0.2500


No. 11
Density functional theory data (PBE) for crystalline PmHo2Sn3 at its relaxed geometry.

Results
Mass density in g cm⁻³: 8.14
Space-group type: C2/m (12)
ΔH_f (0 K) in eV/atom: -0.624
Fermi-level density of states in states/eV/f.u.: 3.31

Lattice parameters (Å, degrees): 7.6390 7.6390 8.5151 94.52 94.52 135.73
Fractional positions:
Pm 0.1638 0.8362 0.0000
Pm 0.8362 0.1638 0.0000
Ho 0.1709 0.8291 0.5000
Ho 0.5000 0.5000 0.0000
Ho 0.5000 0.5000 0.5000
Ho 0.8291 0.1709 0.5000
Sn 0.0091 0.0091 0.7400
Sn 0.3215 0.6498 0.7484
Sn 0.3502 0.6785 0.2516
Sn 0.6498 0.3215 0.7484
Sn 0.6785 0.3502 0.2516
Sn 0.9909 0.9909 0.2600


No. 12
Density functional theory data (PBE) for crystalline Pm3Ho2Sn3 at its relaxed geometry.

Results
Mass density in g cm⁻³: 7.79
Space-group type: P6_3/mcm (193)
ΔH_f (0 K) in eV/atom: -0.721
Fermi-level density of states in states/eV/f.u.: 7.85

Lattice parameters (Å, degrees): 9.1167 9.1167 6.6412 90.00 90.00 120.00
Fractional positions:
Pm 0.0000 0.2416 0.2500
Pm 0.0000 0.7584 0.7500
Pm 0.2416 0.0000 0.2500
Pm 0.2416 0.2416 0.7500
Pm 0.7584 0.0000 0.7500
Pm 0.7584 0.7584 0.2500
Ho 0.3333 0.6667 0.0000
Ho 0.3333 0.6667 0.5000
Ho 0.6667 0.3333 0.0000
Ho 0.6667 0.3333 0.5000
Sn 0.0000 0.3975 0.7500
Sn 0.0000 0.6025 0.2500
Sn 0.3975 0.0000 0.7500
Sn 0.3975 0.3975 0.2500
Sn 0.6025 0.0000 0.2500
Sn 0.6025 0.6025 0.7500


Number 1: magnetic moment 0.0 Bohr magnetons per cell. Number 2: magnetic moment 0.0 Bohr magnetons per cell. Number 3: magnetic moment 0.0 Bohr magnetons per cell. Number 4: magnetic moment 0.3 Bohr magnetons per cell. Number 5: magnetic moment 0.0 Bohr magnetons per cell. Number 6: magnetic moment 0.0 Bohr magnetons per cell. Number 7: magnetic moment 0.0 Bohr magnetons per cell. Number 8: magnetic moment 0.3 Bohr magnetons per cell. Number 9: magnetic moment 0.0 Bohr magnetons per cell. Number 10: magnetic moment 0.0 Bohr magnetons per cell. Number 11: magnetic moment 0.0 Bohr magnetons per cell. Number 12: magnetic moment 0.0 Bohr magnetons per cell.